Arrangement P

A plane-wave DFT calculation with PBE-GGA was carried out for a geometry-optimized SnB2F structure.

Cell: 5.8378 5.8378 5.8378 Å, 90.00 90.00 90.00°
Space group Fm-3m (No. 225)
One atom of each set of equivalent atoms:
Sn 0.0000 0.0000 0.0000 (multiplicity 4)
B 0.2500 0.2500 0.2500 (multiplicity 8)
F 0.0000 0.0000 0.5000 (multiplicity 4)

The calculation puts the density at 5.32 g cm⁻³.

Arrangement Q

A plane-wave DFT calculation with PBE-GGA was carried out for a geometry-optimized SnB2F structure.

Cell: 3.3438 3.3438 22.2381 Å, 90.00 90.00 90.00°
Space group I4_1/amd (No. 141, origin choice 2)
One atom of each set of equivalent atoms:
Sn 0.0000 0.2500 0.3750 (multiplicity 4)
B 0.0000 0.0000 0.0000 (multiplicity 8)
F 0.0000 0.2500 0.8750 (multiplicity 4)

The calculation puts the density at 4.26 g cm⁻³.

Most stable structure, least stable structure: arrangement Q, arrangement P.

Arrangement P

A plane-wave DFT calculation with PBE-GGA was carried out for a geometry-optimized SrBF structure.

Cell: 3.2865 4.2000 7.8768 Å, 79.14 83.58 67.16°
Space group P-1 (No. 2)
One atom of each set of equivalent atoms:
Sr 0.1326 0.0971 0.2343 (multiplicity 2)
B 0.2667 0.4794 0.4981 (multiplicity 2)
F 0.1570 0.2449 0.8994 (multiplicity 2)

The calculation puts the density at 3.97 g cm⁻³.

Arrangement Q

A plane-wave DFT calculation with PBE-GGA was carried out for a geometry-optimized SrBF structure.

Cell: 14.1408 4.2265 3.3274 Å, 90.00 90.65 90.00°
Space group C2/m (No. 12)
One atom of each set of equivalent atoms:
Sr 0.1399 0.0000 0.2454 (multiplicity 4)
B 0.0058 0.5000 0.7493 (multiplicity 4)
F 0.2372 0.5000 0.2490 (multiplicity 4)

The calculation puts the density at 3.92 g cm⁻³.

Arrangement R

A plane-wave DFT calculation with PBE-GGA was carried out for a geometry-optimized SrBF structure.

Cell: 3.2628 4.3289 7.6571 Å, 103.76 90.10 112.13°
Space group P1 (No. 1)
One atom of each set of equivalent atoms:
Sr 0.0000 0.0000 0.0000 (multiplicity 1)
Sr 0.1259 0.2558 0.5475 (multiplicity 1)
B 0.3280 0.6534 0.2563 (multiplicity 1)
B 0.8037 0.6045 0.2579 (multiplicity 1)
F 0.6233 0.2485 0.8268 (multiplicity 1)
F 0.8573 0.7178 0.6603 (multiplicity 1)

The calculation puts the density at 4.03 g cm⁻³.

Most stable structure, least stable structure: arrangement Q, arrangement R.

Arrangement P

A plane-wave DFT calculation with PBE-GGA was carried out for a geometry-optimized SrB2F structure.

Cell: 6.4171 6.4171 6.4171 Å, 90.00 90.00 90.00°
Space group Fm-3m (No. 225)
One atom of each set of equivalent atoms:
Sr 0.0000 0.0000 0.0000 (multiplicity 4)
B 0.2500 0.2500 0.2500 (multiplicity 8)
F 0.0000 0.0000 0.5000 (multiplicity 4)

The calculation puts the density at 3.22 g cm⁻³.

Arrangement Q

A plane-wave DFT calculation with PBE-GGA was carried out for a geometry-optimized SrB2F structure.

Cell: 3.3383 3.3383 22.7668 Å, 90.00 90.00 90.00°
Space group I4_1/amd (No. 141, origin choice 2)
One atom of each set of equivalent atoms:
Sr 0.0000 0.2500 0.3750 (multiplicity 4)
B 0.0000 0.0000 0.0000 (multiplicity 8)
F 0.0000 0.2500 0.8750 (multiplicity 4)

The calculation puts the density at 3.36 g cm⁻³.

Most stable structure, least stable structure: arrangement Q, arrangement P.

Arrangement P

A plane-wave DFT calculation with PBE-GGA was carried out for a geometry-optimized TaBF3 structure.

Cell: 3.9613 3.9613 3.9613 Å, 90.00 90.00 90.00°
Space group Pm-3m (No. 221)
One atom of each set of equivalent atoms:
Ta 0.0000 0.0000 0.0000 (multiplicity 1)
B 0.5000 0.5000 0.5000 (multiplicity 1)
F 0.0000 0.5000 0.5000 (multiplicity 3)

The calculation puts the density at 6.65 g cm⁻³.

Arrangement Q

A plane-wave DFT calculation with PBE-GGA was carried out for a geometry-optimized TaBF3 structure.

Cell: 4.1733 4.1733 4.1733 Å, 90.00 90.00 90.00°
Space group Pm-3m (No. 221)
One atom of each set of equivalent atoms:
Ta 0.0000 0.0000 0.0000 (multiplicity 1)
B 0.5000 0.5000 0.5000 (multiplicity 1)
F 0.0000 0.0000 0.5000 (multiplicity 3)

The calculation puts the density at 5.68 g cm⁻³.

Most stable structure, least stable structure: arrangement Q, arrangement P.

Arrangement P

A plane-wave DFT calculation with PBE-GGA was carried out for a geometry-optimized TaB3F structure.

Cell: 4.3934 4.3934 4.3934 Å, 90.00 90.00 90.00°
Space group Pm-3m (No. 221)
One atom of each set of equivalent atoms:
Ta 0.0000 0.0000 0.0000 (multiplicity 1)
B 0.0000 0.0000 0.5000 (multiplicity 3)
F 0.5000 0.5000 0.5000 (multiplicity 1)

The calculation puts the density at 4.55 g cm⁻³.

Arrangement Q

A plane-wave DFT calculation with PBE-GGA was carried out for a geometry-optimized TaB3F structure.

Cell: 3.6475 3.6475 3.6475 Å, 90.00 90.00 90.00°
Space group Pm-3m (No. 221)
One atom of each set of equivalent atoms:
Ta 0.0000 0.0000 0.0000 (multiplicity 1)
B 0.0000 0.5000 0.5000 (multiplicity 3)
F 0.5000 0.5000 0.5000 (multiplicity 1)

The calculation puts the density at 7.95 g cm⁻³.

Most stable structure, least stable structure: arrangement Q, arrangement P.

Arrangement P

A plane-wave DFT calculation with PBE-GGA was carried out for a geometry-optimized Tc2BF structure.

Cell: 6.2504 6.2504 4.9771 Å, 90.00 90.00 90.00°
Space group I-42d (No. 122)
One atom of each set of equivalent atoms:
Tc 0.2023 0.2500 0.1250 (multiplicity 8)
B 0.0000 0.0000 0.0000 (multiplicity 4)
F 0.0000 0.0000 0.5000 (multiplicity 4)

The calculation puts the density at 7.71 g cm⁻³.

Arrangement Q

A plane-wave DFT calculation with PBE-GGA was carried out for a geometry-optimized Tc2BF structure.

Cell: 5.5815 5.5815 5.5815 Å, 90.00 90.00 90.00°
Space group Fm-3m (No. 225)
One atom of each set of equivalent atoms:
Tc 0.2500 0.2500 0.2500 (multiplicity 8)
B 0.0000 0.0000 0.0000 (multiplicity 4)
F 0.0000 0.0000 0.5000 (multiplicity 4)

The calculation puts the density at 8.63 g cm⁻³.

Most stable structure, least stable structure: arrangement Q, arrangement P.

Arrangement P

A plane-wave DFT calculation with PBE-GGA was carried out for a geometry-optimized TiB3F structure.

Cell: 3.6488 3.6488 3.6488 Å, 90.00 90.00 90.00°
Space group Pm-3m (No. 221)
One atom of each set of equivalent atoms:
Ti 0.0000 0.0000 0.0000 (multiplicity 1)
B 0.0000 0.5000 0.5000 (multiplicity 3)
F 0.5000 0.5000 0.5000 (multiplicity 1)

The calculation puts the density at 3.39 g cm⁻³.

Arrangement Q

A plane-wave DFT calculation with PBE-GGA was carried out for a geometry-optimized TiB3F structure.

Cell: 4.3543 4.3543 4.3543 Å, 90.00 90.00 90.00°
Space group Pm-3m (No. 221)
One atom of each set of equivalent atoms:
Ti 0.0000 0.0000 0.0000 (multiplicity 1)
B 0.0000 0.0000 0.5000 (multiplicity 3)
F 0.5000 0.5000 0.5000 (multiplicity 1)

The calculation puts the density at 2.00 g cm⁻³.

Most stable structure, least stable structure: arrangement P, arrangement Q.

Arrangement P

A plane-wave DFT calculation with PBE-GGA was carried out for a geometry-optimized TlBF3 structure.

Cell: 4.5499 4.5499 4.5499 Å, 90.00 90.00 90.00°
Space group Pm-3m (No. 221)
One atom of each set of equivalent atoms:
Tl 0.0000 0.0000 0.0000 (multiplicity 1)
B 0.5000 0.5000 0.5000 (multiplicity 1)
F 0.0000 0.0000 0.5000 (multiplicity 3)

The calculation puts the density at 4.80 g cm⁻³.

Arrangement Q

A plane-wave DFT calculation with PBE-GGA was carried out for a geometry-optimized TlBF3 structure.

Cell: 3.9992 3.9992 3.9992 Å, 90.00 90.00 90.00°
Space group Pm-3m (No. 221)
One atom of each set of equivalent atoms:
Tl 0.0000 0.0000 0.0000 (multiplicity 1)
B 0.5000 0.5000 0.5000 (multiplicity 1)
F 0.0000 0.5000 0.5000 (multiplicity 3)

The calculation puts the density at 7.07 g cm⁻³.

Most stable structure, least stable structure: arrangement Q, arrangement P.